Entry 1:
La2SeBr: single point on PBEsol structure, meta-GGA SCAN.

Symmetry: P4mm

Cell lengths 4.249, 4.249, 5.988 Å; angles 90.00, 90.00, 90.00 degrees
Sites, in units of the cell vectors:
La: 0.000 0.000 0.000
La: 0.500 0.500 0.499
Se: 0.000 0.000 0.500
Br: 0.500 0.500 0.999

***

Entry 2:
Li2ScCrTe: single point on PBEsol structure, meta-GGA SCAN.

Symmetry: P4/mmm

Cell lengths 4.581, 4.581, 4.897 Å; angles 90.00, 90.00, 90.00 degrees
Sites, in units of the cell vectors:
Li: 0.000 0.500 0.000
Li: 0.500 0.000 0.000
Sc: 0.000 0.000 0.500
Cr: 0.500 0.500 0.000
Te: 0.500 0.500 0.500

***

Entry 3:
CuNiRh2: single point on PBEsol structure, meta-GGA SCAN.

Symmetry: C2/m
Energy of formation from the pure elements (eV per atom): 0.048

Cell lengths 4.425, 4.425, 4.540 Å; angles 99.88, 99.88, 34.43 degrees
Sites, in units of the cell vectors:
Cu: 0.000 0.000 0.000
Ni: 0.500 0.500 0.500
Rh: 0.247 0.247 0.747
Rh: 0.753 0.753 0.253

***

Entry 4:
KBaCa2O: single point on PBEsol structure, meta-GGA SCAN.

Symmetry: P4/mmm

Cell lengths 7.608, 7.608, 4.621 Å; angles 90.00, 90.00, 90.00 degrees
Sites, in units of the cell vectors:
K: 0.000 0.000 0.000
Ba: 0.500 0.500 0.500
Ca: 0.000 0.500 0.500
Ca: 0.500 0.000 0.500
O: 0.500 0.500 0.000

***

Number 1: VASP energy -1.2210 hartree per atom. Number 2: VASP energy -0.5400 hartree per atom. Number 3: VASP energy -0.9070 hartree per atom. Number 4: VASP energy -0.5431 hartree per atom.